[1]
First-principles (PBE) data for a relaxed BaNaLi2Pd crystal, as listed in Alexandria via LeMat-Bulk.

It has space group P4/mmm (No. 123), with a = 5.2536 Å, b = 5.2536 Å, c = 6.0157 Å, α = 90.00°, β = 90.00° and γ = 90.00°. Symmetry generates all atoms from Ba at (0.0000, 0.0000, 0.0000), Na at (0.5000, 0.5000, 0.0000), Li at (0.0000, 0.5000, 0.5000) and Pd at (0.0000, 0.0000, 0.5000).

The value obtained for the formation energy is -0.05 eV per atom. The value obtained for the excess energy over the best structure of this formula in the dataset is 0.53 kJ/mol of atoms.

[2]
First-principles (PBE) data for a relaxed Ce4YPd15 crystal, as listed in Alexandria via LeMat-Bulk.

It has space group P4/mmm (No. 123), with a = 4.1564 Å, b = 4.1564 Å, c = 20.7188 Å, α = 90.00°, β = 90.00° and γ = 90.00°. Symmetry generates all atoms from Ce at (0.0000, 0.0000, 0.1006), Ce at (0.0000, 0.0000, 0.3022), Y at (0.0000, 0.0000, 0.5000), Pd at (0.0000, 0.5000, 0.0000), Pd at (0.0000, 0.5000, 0.2005), Pd at (0.0000, 0.5000, 0.3995), Pd at (0.5000, 0.5000, 0.1001), Pd at (0.5000, 0.5000, 0.3001) and Pd at (0.5000, 0.5000, 0.5000).

The value obtained for the formation energy is -0.84 eV per atom.

Number 1: DOS at the Fermi energy 3.0 states/eV/cell, spin magnetization 0.00 μB/atom. Number 2: DOS at the Fermi energy 17.2 states/eV/cell, spin magnetization 0.08 μB/atom.